The following is a DFT calculation (PBE) of a geometry-optimized CoSb2TeP structure.

a = 5.0268 Å, b = 5.0268 Å, c = 5.2159 Å
α = 90.00°, β = 90.00°, γ = 90.00°
Element x y z (fractional)
Sb (0.0000, 0.5000, 0.0000)
Sb (0.5000, 0.0000, 0.0000)
Te (0.0000, 0.0000, 0.5000)
Co (0.5000, 0.5000, 0.5000)
P (0.0000, 0.0000, 0.0000)

Calculated values
Its offset from the most stable computed form is 554 meV per atom. Its uncorrected formation energy is 5.7 eV per formula unit. The symmetry is P4/mmm. The value obtained for the density of states at the Fermi level is 5.52 states/eV/f.u.